# Na2TbHg6 GGA-PBE optimized geometry
# ΔE_f in meV per atom: -259
# Magnetization in μB per cell: 0.0
# E in eV per atom: -1.2681
# Mass density in kg/m3: 10471
data_Na2TbHg6
_cell_length_a 8.7832
_cell_length_b 8.7832
_cell_length_c 3.3429
_cell_angle_alpha 90.00
_cell_angle_beta 90.00
_cell_angle_gamma 120.00
_space_group_name_H-M_alt 'P 6/m m m'
_space_group_IT_number 191
_space_group_name_Hall '-P 6 2'
loop_
_atom_site_label
_atom_site_type_symbol
_atom_site_fract_x
_atom_site_fract_y
_atom_site_fract_z
Na1 Na 0.3333 0.6667 0.0000
Tb1 Tb 0.0000 0.0000 0.0000
Hg1 Hg 0.0000 0.3349 0.5000